# 1
Density functional theory data (PBE) for a geometry-optimized PmTmGaIr structure.

Formation enthalpy at 0 K, eV per atom: -0.709
Space group: Amm2 (38)

abc: 4.0461 4.2374 5.7564
angles: 90.00 110.58 90.00
With the nearest neighbours (Å) after each atom.
Positions (direct):
Pm 0.1460 0.0000 0.2920  3 Ir 3.00-3.13, 4 Ga 3.05
Tm 0.8631 0.5000 0.7263  3 Ga 2.98-3.20, 4 Ir 3.00
Ir 0.4243 0.0000 0.8486  2 Ga 2.62
Ga 0.5666 0.5000 0.1332  2 Ir 2.62

# 2
Density functional theory data (PBE) for a geometry-optimized AlSiSb2 structure.

Electronic total energy, eV per atom: -3.9669
Space group: Fm-3m (225)

abc: 4.9910 4.9910 4.9910
angles: 60.00 60.00 60.00
With the nearest neighbours (Å) after each atom.
Positions (direct):
Al 0.0000 0.0000 0.0000  8 Sb 3.06
Sb 0.7500 0.7500 0.7500  4 Si 3.06, 4 Al 3.06
Si 0.5000 0.5000 0.5000  8 Sb 3.06
Sb 0.2500 0.2500 0.2500  4 Si 3.06, 4 Al 3.06

# 3
Density functional theory data (PBE) for a geometry-optimized BeAsPb2 structure.

Formation enthalpy at 0 K, eV per atom: 0.255
Space group: P4mm (99)

abc: 3.4360 3.4360 8.0318
angles: 90.00 90.00 90.00
With the nearest neighbours (Å) after each atom.
Positions (direct):
Pb 0.0000 0.0000 0.9726  1 As 2.93
Be 0.5000 0.5000 0.6318  4 As 2.44
As 0.0000 0.0000 0.6083  4 Be 2.44
Pb 0.5000 0.5000 0.2872  1 Be 2.77

# 4
Density functional theory data (PBE) for a geometry-optimized Th12OsAu6 structure.

Formation enthalpy at 0 K, eV per atom: -0.215
Space group: R-3 (148)

abc: 8.3282 8.3282 8.3282
angles: 96.21 96.21 96.21
With the nearest neighbours (Å) after each atom.
Positions (direct):
Au 0.3288 0.1305 0.6932  6 Th 3.00-3.20
Th 0.5635 0.1902 0.4237  4 Au 3.00-3.18
Th 0.4237 0.5635 0.1902  4 Au 3.00-3.18
Th 0.1902 0.4237 0.5635  4 Au 3.00-3.18
Au 0.3068 0.6712 0.8695  6 Th 3.00-3.20
Th 0.5763 0.4365 0.8098  4 Au 3.00-3.18
Au 0.8695 0.3068 0.6712  6 Th 3.00-3.20
Au 0.6712 0.8695 0.3068  6 Th 3.00-3.20
Th 0.8098 0.5763 0.4365  4 Au 3.00-3.18
Th 0.9485 0.6663 0.9668  1 Os 2.75
Th 0.6663 0.9668 0.9485  1 Os 2.75
Th 0.9668 0.9485 0.6663  1 Os 2.75
Th 0.3337 0.0332 0.0515  1 Os 2.75
Th 0.4365 0.8098 0.5763  4 Au 3.00-3.18
Th 0.0332 0.0515 0.3337  1 Os 2.75
Th 0.0515 0.3337 0.0332  1 Os 2.75
Os 0.0000 0.0000 0.0000  6 Th 2.75
Au 0.1305 0.6932 0.3288  6 Th 3.00-3.20
Au 0.6932 0.3288 0.1305  6 Th 3.00-3.20

# 5
Density functional theory data (PBE) for a geometry-optimized AsPb2Br structure.

Electronic total energy, eV per atom: -3.6742
Space group: P4mm (99)

abc: 4.4246 4.4246 6.6283
angles: 90.00 90.00 90.00
With the nearest neighbours (Å) after each atom.
Positions (direct):
Pb 0.5000 0.5000 0.3751  4 As 3.14, 2 Br 3.20-3.43
As 0.0000 0.0000 0.3384  1 Pb 2.72
Br 0.5000 0.5000 0.8582  6 Pb 3.16-3.43
Pb 0.0000 0.0000 0.9283  1 As 2.72

# 6
Density functional theory data (PBE) for a geometry-optimized Pm2NbReN6 structure.

Electronic total energy, eV per atom: -9.0231
Space group: P2_1/c (14)

abc: 5.5951 5.7071 7.9492
angles: 90.00 90.24 90.00
With the nearest neighbours (Å) after each atom.
Positions (direct):
Re 0.5000 0.0000 0.5000  6 N 1.99-2.02
Re 0.0000 0.5000 0.0000  6 N 1.99-2.02
N 0.2834 0.7024 0.0409  1 Re 1.99, 1 Nb 2.11
N 0.7834 0.7976 0.5409  1 Re 1.99, 1 Nb 2.11
N 0.7968 0.7866 0.9582  1 Re 2.02, 1 Nb 2.09
N 0.2968 0.7134 0.4582  1 Re 2.02, 1 Nb 2.09
N 0.2166 0.2024 0.4591  1 Re 1.99, 1 Nb 2.11
N 0.9214 0.5157 0.2435  1 Re 1.99, 1 Nb 2.09
N 0.7166 0.2976 0.9591  1 Re 1.99, 1 Nb 2.11
Nb 0.5000 0.0000 0.0000  6 N 2.09-2.11
Pm 0.4923 0.4513 0.2501  6 N 2.43-2.68
N 0.4214 0.9843 0.7435  1 Re 1.99, 1 Nb 2.09
Pm 0.9923 0.0487 0.7501  6 N 2.43-2.68
Nb 0.0000 0.5000 0.5000  6 N 2.09-2.11
N 0.0786 0.4843 0.7565  1 Re 1.99, 1 Nb 2.09
N 0.2032 0.2134 0.0418  1 Re 2.02, 1 Nb 2.09
Pm 0.0077 0.9513 0.2499  6 N 2.43-2.68
N 0.7032 0.2866 0.5418  1 Re 2.02, 1 Nb 2.09
Pm 0.5077 0.5487 0.7499  6 N 2.43-2.68
N 0.5786 0.0157 0.2565  1 Re 1.99, 1 Nb 2.09

# 7
Density functional theory data (PBE) for a geometry-optimized K9RbHg2 structure.

Formation enthalpy at 0 K, eV per atom: -0.046
Space group: I4_1/amd (141)

abc: 10.5786 12.8614 12.8614
angles: 80.26 65.72 65.72
With the nearest neighbours (Å) after each atom.
Positions (direct):
K 0.6804 0.5604 0.1926  2 Hg 3.77-4.09, 2 K 4.09-4.20
K 0.1270 0.4396 0.1926  2 Hg 3.77-4.09, 2 K 4.09-4.20
Hg 0.8750 0.2500 0.2500  8 K 3.77-4.09
K 0.6804 0.1926 0.5604  2 Hg 3.77-4.09, 2 K 4.09-4.20
K 0.4334 0.8074 0.4396  2 Hg 3.77-4.09, 2 K 4.09-4.20
K 0.0696 0.9396 0.3074  2 Hg 3.77-4.09, 2 K 4.09-4.20
K 0.0696 0.3074 0.9396  2 Hg 3.77-4.09, 2 K 4.09-4.20
K 0.9908 0.9396 0.6926  2 Hg 3.77-4.09, 2 K 4.09-4.20
K 0.1270 0.1926 0.4396  2 Hg 3.77-4.09, 2 K 4.09-4.20
Hg 0.8750 0.7500 0.2500  8 K 3.77-4.09
Hg 0.3750 0.7500 0.7500  8 K 3.77-4.09
K 0.7592 0.8074 0.5604  2 Hg 3.77-4.09, 2 K 4.09-4.20
Rb 0.2500 0.5000 0.5000  10 K 4.90-5.29
K 0.0000 0.0000 0.0000  8 K 4.20, 4 Hg 4.35
K 0.3166 0.6926 0.0604  2 Hg 3.77-4.09, 2 K 4.09-4.20
K 0.7592 0.5604 0.8074  2 Hg 3.77-4.09, 2 K 4.09-4.20
K 0.6230 0.0604 0.3074  2 Hg 3.77-4.09, 2 K 4.09-4.20
K 0.3166 0.0604 0.6926  2 Hg 3.77-4.09, 2 K 4.09-4.20
Hg 0.8750 0.2500 0.7500  8 K 3.77-4.09
Rb 0.5000 0.0000 0.0000  10 K 4.90-5.29
K 0.6230 0.3074 0.0604  2 Hg 3.77-4.09, 2 K 4.09-4.20
K 0.9908 0.6926 0.9396  2 Hg 3.77-4.09, 2 K 4.09-4.20
K 0.7500 0.5000 0.5000  8 K 4.20, 4 Hg 4.35
K 0.4334 0.4396 0.8074  2 Hg 3.77-4.09, 2 K 4.09-4.20

Mass density for every record listed, in sequence, given in g/cm3: 10.35, 5.64, 8.73, 12.18, 7.28, 8.55, 1.92.